(1)
CeDy3Tm12 (PBE-GGA, optimized geometry); E_tot = -72.84 eV per cell; total moment = 0.85 μB per formula unit; ΔE_f = 0.55 eV per formula unit
1.0
-0.969 -1.685 4.551
-3.706 -2.739 -1.803
12.530 -15.045 -2.903
Tm Dy Ce
12 3 1
Cartesian
2.843 -7.008 -1.989
1.070 -2.709 1.915
-0.298 -3.236 -1.262
-2.337 -2.212 1.374
4.211 -6.481 1.187
9.123 -14.548 -3.444
10.491 -14.021 -0.268
5.982 -10.776 -2.717
7.050 -13.483 -0.801
7.350 -10.249 0.460
3.928 -9.734 -0.078
0.806 -5.986 0.646
9.415 -11.304 -2.181
6.265 -7.522 -1.452
3.116 -3.741 -0.722
0.000 0.000 0.000

(2)
CeDy4Tm7 (PBE-GGA, optimized geometry); E_tot = -52.15 eV per cell; total moment = 1.07 μB per formula unit; ΔE_f = 3.50 eV per formula unit
1.0
5.757 0.000 0.000
2.878 11.123 -0.279
2.878 0.226 5.952
Dy Tm Ce
4 7 1
Cartesian
5.757 2.619 2.981
8.635 7.801 4.656
2.878 3.549 1.017
5.757 8.730 2.692
2.878 0.000 0.000
2.878 0.963 3.008
8.635 3.829 4.625
5.757 5.767 4.432
5.757 5.582 1.241
2.878 7.521 1.048
8.635 10.387 2.665
0.000 0.000 0.000

(3)
CeDy3Tm3 (PBE-GGA, optimized geometry); E_tot = -63.76 eV per cell; total moment = 1.32 μB per formula unit; ΔE_f = 1.27 eV per formula unit
1.0
-5.727 -1.262 -1.679
-1.073 -4.304 -4.187
-3.117 -11.558 8.235
Dy Tm Ce
6 6 2
Cartesian
-6.781 -7.996 -0.419
-5.397 -10.989 0.827
-6.602 -8.539 3.058
-3.136 -9.126 2.788
-3.315 -8.584 -0.689
-4.519 -6.134 1.543
-7.122 -11.901 3.691
-3.663 -12.494 3.415
-4.857 -10.046 5.646
-5.059 -7.076 -3.277
-2.794 -5.221 -1.321
-6.254 -4.629 -1.046
-4.533 -3.710 -3.911
-5.383 -13.413 6.280